# 1
# PBE BaCr2As, relaxed
data_BaCr2As
_space_group_name_H-M_alt 'P 4/m m m'
_space_group_IT_number 123
_space_group_name_Hall '-P 4 2'
_cell_length_a 4.623
_cell_length_b 4.623
_cell_length_c 4.699
_cell_angle_alpha 90.00
_cell_angle_beta 90.00
_cell_angle_gamma 90.00
loop_
_atom_site_label
_atom_site_fract_x
_atom_site_fract_y
_atom_site_fract_z
Ba1 0.000 0.000 0.000
Cr1 0.000 0.500 0.500
As1 0.500 0.500 0.000
# **DFT total energy**: -23.4 eV/f.u.
# **Calculated density**: 5.2 g/cm³

# 2
# PBE Ac4TlPb, relaxed
data_Ac4TlPb
_space_group_name_H-M_alt 'C 1 2/m 1'
_space_group_IT_number 12
_space_group_name_Hall '-C 2y'
_cell_length_a 9.922
_cell_length_b 5.715
_cell_length_c 9.700
_cell_angle_alpha 90.00
_cell_angle_beta 110.14
_cell_angle_gamma 90.00
loop_
_atom_site_label
_atom_site_fract_x
_atom_site_fract_y
_atom_site_fract_z
Ac1 0.124 0.000 0.373
Ac2 0.129 0.500 0.885
Tl1 0.000 0.000 0.000
Pb1 0.000 0.500 0.500
# **DFT total energy**: -23.5 eV/f.u.
# **Calculated density**: 8.5 g/cm³

# 3
# PBE Ac2CeYAs4, relaxed
data_Ac2CeYAs4
_space_group_name_H-M_alt 'P 1 2/m 1'
_space_group_IT_number 10
_space_group_name_Hall '-P 2y'
_cell_length_a 7.537
_cell_length_b 4.362
_cell_length_c 7.572
_cell_angle_alpha 90.00
_cell_angle_beta 109.39
_cell_angle_gamma 90.00
loop_
_atom_site_label
_atom_site_fract_x
_atom_site_fract_y
_atom_site_fract_z
Ac1 0.000 0.000 0.000
Ac2 0.500 0.500 0.000
Ce1 0.000 0.500 0.500
Y1 0.500 0.000 0.500
As1 0.244 0.000 0.728
As2 0.258 0.500 0.272
# **DFT total energy**: -50.9 eV/f.u.
# **Calculated density**: 6.9 g/cm³

# 4
# PBE LaScV2Au, relaxed
data_LaScV2Au
_space_group_name_H-M_alt 'P 4/m m m'
_space_group_IT_number 123
_space_group_name_Hall '-P 4 2'
_cell_length_a 4.829
_cell_length_b 4.829
_cell_length_c 5.124
_cell_angle_alpha 90.00
_cell_angle_beta 90.00
_cell_angle_gamma 90.00
loop_
_atom_site_label
_atom_site_fract_x
_atom_site_fract_y
_atom_site_fract_z
La1 0.000 0.000 0.000
Sc1 0.500 0.500 0.500
V1 0.000 0.500 0.500
Au1 0.500 0.500 0.000
# **DFT total energy**: -29.2 eV/f.u.
# **Calculated density**: 6.7 g/cm³

# 5
# PBE MgCu2O4, relaxed
data_MgCu2O4
_space_group_name_H-M_alt 'P n m a'
_space_group_IT_number 62
_space_group_name_Hall '-P 2ac 2n'
_cell_length_a 8.841
_cell_length_b 2.921
_cell_length_c 10.305
_cell_angle_alpha 90.00
_cell_angle_beta 90.00
_cell_angle_gamma 90.00
loop_
_atom_site_label
_atom_site_fract_x
_atom_site_fract_y
_atom_site_fract_z
Mg1 0.241 0.250 0.161
Cu1 0.056 0.250 0.383
Cu2 0.092 0.250 0.900
O1 0.040 0.750 0.782
O2 0.099 0.250 0.571
O3 0.121 0.750 0.038
O4 0.204 0.750 0.322
# **Energy relative to the elements, uncorrected**: -975 meV per atom
# **Calculated density**: 5.4 g/cm³

# 6
# PBE Dy8AlTc2, relaxed
data_Dy8AlTc2
_space_group_name_H-M_alt 'C 1 m 1'
_space_group_IT_number 8
_space_group_name_Hall 'C -2y'
_cell_length_a 8.690
_cell_length_b 15.690
_cell_length_c 5.286
_cell_angle_alpha 90.00
_cell_angle_beta 127.45
_cell_angle_gamma 90.00
loop_
_atom_site_label
_atom_site_fract_x
_atom_site_fract_y
_atom_site_fract_z
Dy1 0.000 0.000 0.000
Dy2 0.081 0.167 0.581
Dy3 0.112 0.291 0.111
Dy4 0.224 0.500 0.225
Dy5 0.439 0.108 0.439
Al1 0.298 0.000 0.797
Tc1 0.309 0.336 0.808
# **DFT total energy**: -62.3 eV/f.u.
# **Calculated density**: 8.8 g/cm³

# 7
# PBE GaCu3I, relaxed
data_GaCu3I
_space_group_name_H-M_alt 'P m -3 m'
_space_group_IT_number 221
_space_group_name_Hall '-P 4 2 3'
_cell_length_a 4.698
_cell_length_b 4.698
_cell_length_c 4.698
_cell_angle_alpha 90.00
_cell_angle_beta 90.00
_cell_angle_gamma 90.00
loop_
_atom_site_label
_atom_site_fract_x
_atom_site_fract_y
_atom_site_fract_z
Ga1 0.000 0.000 0.000
Cu1 0.000 0.000 0.500
I1 0.500 0.500 0.500
# **Energy relative to the elements, uncorrected**: 620 meV per atom
# **Calculated density**: 6.2 g/cm³

# 8
# PBE MgAl2CrBr, relaxed
data_MgAl2CrBr
_space_group_name_H-M_alt 'P 4/m m m'
_space_group_IT_number 123
_space_group_name_Hall '-P 4 2'
_cell_length_a 4.900
_cell_length_b 4.900
_cell_length_c 4.652
_cell_angle_alpha 90.00
_cell_angle_beta 90.00
_cell_angle_gamma 90.00
loop_
_atom_site_label
_atom_site_fract_x
_atom_site_fract_y
_atom_site_fract_z
Mg1 0.000 0.000 0.000
Al1 0.000 0.500 0.500
Cr1 0.500 0.500 0.500
Br1 0.500 0.500 0.000
# **Energy relative to the elements, uncorrected**: 514 meV per atom
# **Calculated density**: 3.1 g/cm³

# 9
# PBE Na2Ni3Sn5, relaxed
data_Na2Ni3Sn5
_space_group_name_H-M_alt 'C m c 21'
_space_group_IT_number 36
_space_group_name_Hall 'C 2c -2'
_cell_length_a 4.365
_cell_length_b 26.036
_cell_length_c 7.139
_cell_angle_alpha 90.00
_cell_angle_beta 90.00
_cell_angle_gamma 90.00
loop_
_atom_site_label
_atom_site_fract_x
_atom_site_fract_y
_atom_site_fract_z
Na1 0.000 0.024 0.000
Na2 0.000 0.328 0.965
Ni1 0.000 0.106 0.253
Ni2 0.000 0.277 0.462
Ni3 0.000 0.450 0.211
Sn1 0.000 0.095 0.623
Sn2 0.000 0.204 0.178
Sn3 0.000 0.210 0.750
Sn4 0.000 0.380 0.496
Sn5 0.000 0.453 0.832
# **DFT total energy**: -41.6 eV/f.u.
# **Calculated density**: 6.7 g/cm³

# 10
# PBE La3Ga8Pt3, relaxed
data_La3Ga8Pt3
_space_group_name_H-M_alt 'C 1 2/m 1'
_space_group_IT_number 12
_space_group_name_Hall '-C 2y'
_cell_length_a 16.175
_cell_length_b 4.535
_cell_length_c 9.126
_cell_angle_alpha 90.00
_cell_angle_beta 123.51
_cell_angle_gamma 90.00
loop_
_atom_site_label
_atom_site_fract_x
_atom_site_fract_y
_atom_site_fract_z
La1 0.000 0.000 0.000
La2 0.210 0.500 0.699
Ga1 0.005 0.500 0.679
Ga2 0.138 0.000 0.426
Ga3 0.154 0.000 0.870
Ga4 0.154 0.500 0.288
Pt1 0.000 0.000 0.500
Pt2 0.150 0.500 0.004
# **DFT total energy**: -68.4 eV/f.u.
# **Calculated density**: 9.3 g/cm³

# 11
# PBE BaHfTlBi2, relaxed
data_BaHfTlBi2
_space_group_name_H-M_alt 'P 4/m m m'
_space_group_IT_number 123
_space_group_name_Hall '-P 4 2'
_cell_length_a 5.725
_cell_length_b 5.725
_cell_length_c 5.658
_cell_angle_alpha 90.00
_cell_angle_beta 90.00
_cell_angle_gamma 90.00
loop_
_atom_site_label
_atom_site_fract_x
_atom_site_fract_y
_atom_site_fract_z
Ba1 0.000 0.000 0.000
Hf1 0.500 0.500 0.500
Tl1 0.500 0.500 0.000
Bi1 0.000 0.500 0.500
# **DFT total energy**: -23.3 eV/f.u.
# **Calculated density**: 8.4 g/cm³

# 12
# PBE Al2Cu8Si, relaxed
data_Al2Cu8Si
_space_group_name_H-M_alt 'P 4/m m m'
_space_group_IT_number 123
_space_group_name_Hall '-P 4 2'
_cell_length_a 3.803
_cell_length_b 3.803
_cell_length_c 9.866
_cell_angle_alpha 90.00
_cell_angle_beta 90.00
_cell_angle_gamma 90.00
loop_
_atom_site_label
_atom_site_fract_x
_atom_site_fract_y
_atom_site_fract_z
Al1 0.000 0.000 0.181
Cu1 0.000 0.500 0.000
Cu2 0.000 0.500 0.358
Cu3 0.500 0.500 0.177
Si1 0.000 0.000 0.500
# **Energy relative to the elements, uncorrected**: -97 meV per atom
# **Calculated density**: 6.9 g/cm³

# 13
# PBE GaSnPb2, relaxed
data_GaSnPb2
_space_group_name_H-M_alt 'I -4 2 d'
_space_group_IT_number 122
_space_group_name_Hall 'I -4 2bw'
_cell_length_a 6.666
_cell_length_b 6.666
_cell_length_c 13.116
_cell_angle_alpha 90.00
_cell_angle_beta 90.00
_cell_angle_gamma 90.00
loop_
_atom_site_label
_atom_site_fract_x
_atom_site_fract_y
_atom_site_fract_z
Ga1 0.000 0.000 0.000
Sn1 0.000 0.000 0.500
Pb1 0.227 0.250 0.125
# **DFT total energy**: -13.6 eV/f.u.
# **Calculated density**: 6.9 g/cm³

# 14
# PBE CaAcInGe, relaxed
data_CaAcInGe
_space_group_name_H-M_alt 'F -4 3 m'
_space_group_IT_number 216
_space_group_name_Hall 'F -4 2 3'
_cell_length_a 7.803
_cell_length_b 7.803
_cell_length_c 7.803
_cell_angle_alpha 90.00
_cell_angle_beta 90.00
_cell_angle_gamma 90.00
loop_
_atom_site_label
_atom_site_fract_x
_atom_site_fract_y
_atom_site_fract_z
Ca1 0.000 0.000 0.000
Ac1 0.000 0.000 0.500
In1 0.250 0.250 0.250
Ge1 0.250 0.250 0.750
# **DFT total energy**: -15.3 eV/f.u.
# **Calculated density**: 6.4 g/cm³

# 15
# PBE KZnAgO2, relaxed
data_KZnAgO2
_space_group_name_H-M_alt 'C m m e'
_space_group_IT_number 67
_space_group_name_Hall '-C 2a 2'
_cell_length_a 5.642
_cell_length_b 11.958
_cell_length_c 5.464
_cell_angle_alpha 90.00
_cell_angle_beta 90.00
_cell_angle_gamma 90.00
loop_
_atom_site_label
_atom_site_fract_x
_atom_site_fract_y
_atom_site_fract_z
K1 0.000 0.250 0.197
Zn1 0.250 0.000 0.000
Ag1 0.000 0.000 0.500
O1 0.000 0.095 0.829
# **Energy relative to the elements, uncorrected**: -963 meV per atom
# **Calculated density**: 4.4 g/cm³

# 16
# PBE YCrAs2, relaxed
data_YCrAs2
_space_group_name_H-M_alt 'I -4 m 2'
_space_group_IT_number 119
_space_group_name_Hall 'I -4 -2'
_cell_length_a 3.981
_cell_length_b 3.981
_cell_length_c 10.146
_cell_angle_alpha 90.00
_cell_angle_beta 90.00
_cell_angle_gamma 90.00
loop_
_atom_site_label
_atom_site_fract_x
_atom_site_fract_y
_atom_site_fract_z
Y1 0.000 0.000 0.000
Cr1 0.000 0.500 0.250
As1 0.000 0.000 0.500
As2 0.000 0.500 0.750
# **DFT total energy**: -27.1 eV/f.u.
# **Calculated density**: 6.0 g/cm³

# 17
# PBE SmSc3Pt2, relaxed
data_SmSc3Pt2
_space_group_name_H-M_alt 'P m c 21'
_space_group_IT_number 26
_space_group_name_Hall 'P 2c -2'
_cell_length_a 4.549
_cell_length_b 8.469
_cell_length_c 6.832
_cell_angle_alpha 90.00
_cell_angle_beta 90.00
_cell_angle_gamma 90.00
loop_
_atom_site_label
_atom_site_fract_x
_atom_site_fract_y
_atom_site_fract_z
Sm1 0.000 0.073 0.000
Sc1 0.000 0.336 0.632
Sc2 0.500 0.189 0.345
Sc3 0.500 0.427 0.972
Pt1 0.000 0.354 0.238
Pt2 0.500 0.162 0.735
# **DFT total energy**: -41.5 eV/f.u.
# **Calculated density**: 8.5 g/cm³

# 18
# PBE CaTaSbIr2, relaxed
data_CaTaSbIr2
_space_group_name_H-M_alt 'P 4/m m m'
_space_group_IT_number 123
_space_group_name_Hall '-P 4 2'
_cell_length_a 4.719
_cell_length_b 4.719
_cell_length_c 5.132
_cell_angle_alpha 90.00
_cell_angle_beta 90.00
_cell_angle_gamma 90.00
loop_
_atom_site_label
_atom_site_fract_x
_atom_site_fract_y
_atom_site_fract_z
Ca1 0.000 0.000 0.000
Ta1 0.500 0.500 0.500
Sb1 0.000 0.000 0.500
Ir1 0.000 0.500 0.000
# **Energy relative to the elements, uncorrected**: 2070 meV per atom
# **Calculated density**: 10.6 g/cm³

# 19
# PBE HoZn2Cu4, relaxed
data_HoZn2Cu4
_space_group_name_H-M_alt 'I 4/m m m'
_space_group_IT_number 139
_space_group_name_Hall '-I 4 2'
_cell_length_a 7.322
_cell_length_b 7.322
_cell_length_c 5.098
_cell_angle_alpha 90.00
_cell_angle_beta 90.00
_cell_angle_gamma 90.00
loop_
_atom_site_label
_atom_site_fract_x
_atom_site_fract_y
_atom_site_fract_z
Ho1 0.000 0.000 0.000
Zn1 0.000 0.500 0.250
Cu1 0.000 0.224 0.500
# **DFT total energy**: -21.5 eV/f.u.
# **Calculated density**: 6.7 g/cm³

# 20
# PBE Pm3Cu8Sn, relaxed
data_Pm3Cu8Sn
_space_group_name_H-M_alt 'R 3 m'
_space_group_IT_number 160
_space_group_name_Hall 'R 3 -2"'
_cell_length_a 5.2772
_cell_length_b 5.2772
_cell_length_c 25.8903
_cell_angle_alpha 90.00
_cell_angle_beta 90.00
_cell_angle_gamma 120.00
loop_
_atom_site_label
_atom_site_fract_x
_atom_site_fract_y
_atom_site_fract_z
Pm1 0.0000 0.0000 0.0000
Pm2 0.0000 0.0000 0.1242
Pm3 0.0000 0.0000 0.6191
Cu1 0.0000 0.0000 0.3106
Cu2 0.0000 0.0000 0.8111
Cu3 0.0010 0.5005 0.0607
Cu4 0.0043 0.5022 0.5608
Sn1 0.0000 0.0000 0.4949
# **DFT total energy**: -53.0 eV/f.u.
# **Calculated density**: 8.5 g/cm³